Material: Pm7Ga4C
Method: DFT, PBE
State: optimized geometry

extended XYZ file:
```
12
Lattice="7.6867 -2.5601 0.0000 7.6867 2.5601 0.0000 -6.8076 0.0000 8.5475" Properties=species:S:1:pos:R:3 pbc="T T T"
Pm 0.0000 0.0000 0.0000
Pm -1.6586 0.0000 4.8312
Pm 3.3189 0.0000 1.1712
Pm 1.7666 0.0000 6.3247
Pm 6.7991 0.0000 2.2228
Pm 5.2468 0.0000 7.3762
Pm 10.2243 0.0000 3.7163
Ga -4.1079 0.0000 6.6889
Ga 0.8585 0.0000 3.0931
Ga 7.7072 0.0000 5.4543
Ga 12.6736 0.0000 1.8586
C 7.6867 0.0000 0.0000
```

DOS(E_F): 11.8 states/eV/cell
DFT formation energy: -170 meV/atom



Material: PmGaC
Method: DFT, PBE
State: optimized geometry

extended XYZ file:
```
12
Lattice="3.4686 0.0000 0.0000 0.0000 20.8074 0.0000 0.0000 0.0000 2.9759" Properties=species:S:1:pos:R:3 pbc="T T T"
Pm 0.0000 1.6253 0.7440
Pm 0.0000 19.1822 2.2319
Pm 1.7343 8.7784 2.2319
Pm 1.7343 12.0290 0.7440
Ga 0.0000 6.0749 2.2319
Ga 0.0000 14.7325 0.7440
Ga 1.7343 4.3288 0.7440
Ga 1.7343 16.4786 2.2319
C 0.0000 10.0198 0.7440
C 0.0000 10.7877 2.2319
C 1.7343 0.3840 2.2319
C 1.7343 20.4235 0.7440
```

DOS(E_F): 4.7 states/eV/cell
DFT formation energy: 44 meV/atom
Distance to the lowest polymorph of the same formula: 45.3 kJ per mole of atoms



Material: Pm3Ga2Ru3C
Method: DFT, PBE
State: optimized geometry

extended XYZ file:
```
9
Lattice="7.4175 0.0000 0.0000 -3.7088 6.4238 0.0000 0.0000 0.0000 3.5185" Properties=species:S:1:pos:R:3 pbc="T T T"
Pm -1.3506 2.3393 0.0000
Pm 2.7012 0.0000 0.0000
Pm 2.3582 4.0844 0.0000
Ga 0.0000 4.2825 1.7592
Ga 3.7088 2.1413 1.7592
Ru -2.9100 5.0402 1.7592
Ru 0.7988 1.3835 1.7592
Ru 5.8199 0.0000 1.7592
C 0.0000 0.0000 0.0000
```

DOS(E_F): 5.4 states/eV/cell
DFT formation energy: -128 meV/atom